Entry 1:
DFT (PBE-GGA) results for crystalline Pa2O3 at its relaxed geometry.

Output
E_tot ... -8.979 eV/atom
Spin magnetization ... 3.0 μB per formula unit
V ... 16.0 Å³/atom

Cell: 6.3550 6.3550 6.3550 Å, 54.98 54.98 54.98°
Element x y z (fractional)
Pa 0.1232 0.1232 0.1232
Pa 0.3495 0.3495 0.3495
Pa 0.6505 0.6505 0.6505
Pa 0.8768 0.8768 0.8768
O 0.0667 0.7201 0.5142
O 0.2799 0.4858 0.9333
O 0.4858 0.9333 0.2799
O 0.5142 0.0667 0.7201
O 0.7201 0.5142 0.0667
O 0.9333 0.2799 0.4858

***

Entry 2:
DFT (PBE-GGA) results for crystalline KSrDy at its relaxed geometry.

Output
E_tot ... -1.486 eV/atom
Spin magnetization ... 0.6 μB per formula unit
V ... 55.7 Å³/atom

Cell: 6.1821 6.1821 6.1821 Å, 60.00 60.00 60.00°
Element x y z (fractional)
K 0.0000 0.0000 0.0000
Sr 0.2500 0.2500 0.2500
Dy 0.7500 0.7500 0.7500

***

Entry 3:
DFT (PBE-GGA) results for crystalline Cs2Na2HgAs2 at its relaxed geometry.

Output
V ... 38.3 Å³/atom
Excess energy over the best structure of this formula in the dataset ... 0.040 eV per atom

Cell: 9.3999 9.3999 9.3999 Å, 36.89 36.89 36.89°
Element x y z (fractional)
Cs 0.1090 0.1090 0.1090
Cs 0.8910 0.8910 0.8910
Na 0.2939 0.2939 0.2939
Na 0.7061 0.7061 0.7061
Hg 0.5000 0.5000 0.5000
As 0.4035 0.4035 0.4035
As 0.5965 0.5965 0.5965